Arrangement A

# TcHgCl

An optimized crystal structure of TcHgCl (PBE, Alexandria via LeMat-Bulk).

Cell lengths 6.5433, 6.5433, 6.5433 Å; angles 90.00, 90.00, 90.00 degrees
Space group F-43m (No. 216)
Asymmetric unit:
Tc 0.0000 0.0000 0.0000 (multiplicity 4)
Hg 0.2500 0.2500 0.7500 (multiplicity 4)
Cl 0.2500 0.2500 0.2500 (multiplicity 4)

Calculated values
The total moment is 1.082 μB per atom.

Arrangement B

# TcHgCl

An optimized crystal structure of TcHgCl (PBE, Alexandria via LeMat-Bulk).

Cell lengths 4.5877, 4.5877, 3.2780 Å; angles 90.00, 90.00, 120.00 degrees
Space group P-6m2 (No. 187)
Asymmetric unit:
Tc 0.0000 0.0000 0.0000 (multiplicity 1)
Hg 0.3333 0.6667 0.5000 (multiplicity 1)
Cl 0.6667 0.3333 0.0000 (multiplicity 1)

Calculated values
The total moment is 1.005 μB per atom.

Arrangement C

# TcHgCl

An optimized crystal structure of TcHgCl (PBE, Alexandria via LeMat-Bulk).

Cell lengths 3.0757, 3.0757, 7.5255 Å; angles 90.00, 90.00, 120.00 degrees
Space group P3m1 (No. 156)
Asymmetric unit:
Tc 0.0000 0.0000 0.0000 (multiplicity 1)
Hg 0.3333 0.6667 0.6908 (multiplicity 1)
Cl 0.6667 0.3333 0.2140 (multiplicity 1)

Calculated values
The total moment is 0.000 μB per atom.

arrangement C is the most stable structure; the next one sits 426 meV per atom above it.

Arrangement A

# TcHgCl

An optimized crystal structure of TcHgCl (PBE, Alexandria via LeMat-Bulk).

Cell lengths 2.9581, 5.4023, 16.3459 Å; angles 90.00, 90.00, 90.00 degrees
Space group Fmm2 (No. 42)
Asymmetric unit:
Tc 0.0000 0.0000 0.0000 (multiplicity 4)
Hg 0.0000 0.0000 0.6514 (multiplicity 4)
Cl 0.0000 0.0000 0.3891 (multiplicity 4)

Calculated values
The total moment is 0.065 μB per atom.

Arrangement B

# TcHgCl

An optimized crystal structure of TcHgCl (PBE, Alexandria via LeMat-Bulk).

Cell lengths 6.6075, 6.6075, 6.6075 Å; angles 90.00, 90.00, 90.00 degrees
Space group F-43m (No. 216)
Asymmetric unit:
Tc 0.0000 0.0000 0.0000 (multiplicity 4)
Hg 0.0000 0.0000 0.5000 (multiplicity 4)
Cl 0.2500 0.2500 0.2500 (multiplicity 4)

Calculated values
The total moment is 1.243 μB per atom.

arrangement A is the most stable structure; the next one sits 741 meV per atom above it.

Arrangement A

# TcHgCl4

An optimized crystal structure of TcHgCl4 (PBE, Alexandria via LeMat-Bulk).

Cell lengths 8.4127, 8.4127, 8.4127 Å; angles 90.00, 90.00, 90.00 degrees
Space group F-43m (No. 216)
Asymmetric unit:
Tc 0.0000 0.0000 0.0000 (multiplicity 4)
Hg 0.2500 0.2500 0.2500 (multiplicity 4)
Cl 0.1255 0.1255 0.6255 (multiplicity 16)

Calculated values
The total moment is 1.178 μB per atom.

Arrangement B

# TcHgCl4

An optimized crystal structure of TcHgCl4 (PBE, Alexandria via LeMat-Bulk).

Cell lengths 7.4131, 7.5670, 7.7381 Å; angles 113.62, 95.61, 108.47 degrees
Space group P-1 (No. 2)
Asymmetric unit:
Tc 0.1612 0.0629 0.0452 (multiplicity 2)
Hg 0.3014 0.6316 0.0986 (multiplicity 2)
Cl 0.2327 0.9780 0.2966 (multiplicity 2)
Cl 0.2397 0.7836 0.8476 (multiplicity 2)
Cl 0.2512 0.4073 0.2912 (multiplicity 2)
Cl 0.2580 0.2218 0.8414 (multiplicity 2)

Calculated values
The total moment is 0.000 μB per atom.

arrangement B is the most stable structure; the next one sits 1469 meV per atom above it.

Arrangement A

# HgTeCl

An optimized crystal structure of HgTeCl (PBE, Alexandria via LeMat-Bulk).

Cell lengths 8.5061, 21.0441, 7.8430 Å; angles 90.00, 90.00, 90.00 degrees
Space group Ima2 (No. 46)
Asymmetric unit:
Hg 0.0000 0.0000 0.0000 (multiplicity 4)
Hg 0.0345 0.0707 0.4808 (multiplicity 8)
Te 0.9998 0.1861 0.6294 (multiplicity 8)
Te 0.2500 0.5045 0.7654 (multiplicity 4)
Cl 0.2500 0.1690 0.8189 (multiplicity 4)
Cl 0.2500 0.5056 0.2640 (multiplicity 4)
Cl 0.2500 0.7024 0.9360 (multiplicity 4)

Calculated values
The total moment is 0.000 μB per atom.

Arrangement B

# HgTeCl

An optimized crystal structure of HgTeCl (PBE, Alexandria via LeMat-Bulk).

Cell lengths 5.0852, 5.0852, 3.4449 Å; angles 90.00, 90.00, 120.00 degrees
Space group P3m1 (No. 156)
Asymmetric unit:
Hg 0.0000 0.0000 0.0000 (multiplicity 1)
Te 0.6667 0.3333 0.9983 (multiplicity 1)
Cl 0.3333 0.6667 0.4984 (multiplicity 1)

Calculated values
The total moment is 0.000 μB per atom.

arrangement A is the most stable structure; the next one sits 124 meV per atom above it.

Arrangement A

# HgTeCl

An optimized crystal structure of HgTeCl (PBE, Alexandria via LeMat-Bulk).

Cell lengths 3.4263, 4.2807, 13.3126 Å; angles 89.98, 89.95, 89.98 degrees
Space group P1 (No. 1)
Asymmetric unit:
Hg 0.0000 0.0000 0.0000 (multiplicity 1)
Hg 0.0007 0.0976 0.4998 (multiplicity 1)
Te 0.0009 0.5182 0.1380 (multiplicity 1)
Te 0.0011 0.5779 0.6378 (multiplicity 1)
Cl 0.5013 0.0744 0.8544 (multiplicity 1)
Cl 0.5017 0.0189 0.3544 (multiplicity 1)

Calculated values
The total moment is 0.000 μB per atom.

Arrangement B

# HgTeCl

An optimized crystal structure of HgTeCl (PBE, Alexandria via LeMat-Bulk).

Cell lengths 7.1106, 7.1106, 7.1106 Å; angles 90.00, 90.00, 90.00 degrees
Space group F-43m (No. 216)
Asymmetric unit:
Hg 0.0000 0.0000 0.0000 (multiplicity 4)
Te 0.2500 0.2500 0.2500 (multiplicity 4)
Cl 0.0000 0.0000 0.5000 (multiplicity 4)

Calculated values
The total moment is 0.000 μB per atom.

Arrangement C

# HgTeCl

An optimized crystal structure of HgTeCl (PBE, Alexandria via LeMat-Bulk).

Cell lengths 3.9733, 6.0687, 14.4938 Å; angles 90.00, 90.00, 90.00 degrees
Space group Fmm2 (No. 42)
Asymmetric unit:
Hg 0.0000 0.0000 0.0000 (multiplicity 4)
Te 0.0000 0.0000 0.3521 (multiplicity 4)
Cl 0.0000 0.0000 0.6228 (multiplicity 4)

Calculated values
The total moment is 0.000 μB per atom.

arrangement A is the most stable structure; the next one sits 143 meV per atom above it.

Arrangement A

# HgTeCl

An optimized crystal structure of HgTeCl (PBE, Alexandria via LeMat-Bulk).

Cell lengths 7.0824, 7.0824, 7.0824 Å; angles 90.00, 90.00, 90.00 degrees
Space group F-43m (No. 216)
Asymmetric unit:
Hg 0.0000 0.0000 0.0000 (multiplicity 4)
Te 0.2500 0.2500 0.2500 (multiplicity 4)
Cl 0.2500 0.2500 0.7500 (multiplicity 4)

Calculated values
The total moment is 0.033 μB per atom.

Arrangement B

# HgTeCl

An optimized crystal structure of HgTeCl (PBE, Alexandria via LeMat-Bulk).

Cell lengths 3.4403, 3.4403, 14.0388 Å; angles 90.00, 90.00, 90.00 degrees
Space group I4mm (No. 107)
Asymmetric unit:
Hg 0.0000 0.0000 0.0000 (multiplicity 2)
Te 0.0000 0.0000 0.6543 (multiplicity 2)
Cl 0.0000 0.0000 0.3867 (multiplicity 2)

Calculated values
The total moment is 0.000 μB per atom.

arrangement B is the most stable structure; the next one sits 53 meV per atom above it.

Arrangement A

# HgTe3Cl

An optimized crystal structure of HgTe3Cl (PBE, Alexandria via LeMat-Bulk).

Cell lengths 5.6290, 5.6290, 5.6290 Å; angles 90.00, 90.00, 90.00 degrees
Space group Pm-3m (No. 221)
Asymmetric unit:
Hg 0.0000 0.0000 0.0000 (multiplicity 1)
Te 0.0000 0.0000 0.5000 (multiplicity 3)
Cl 0.5000 0.5000 0.5000 (multiplicity 1)

Calculated values
The total moment is 0.000 μB per atom.

Arrangement B

# HgTe3Cl

An optimized crystal structure of HgTe3Cl (PBE, Alexandria via LeMat-Bulk).

Cell lengths 5.4717, 5.4717, 5.4717 Å; angles 90.00, 90.00, 90.00 degrees
Space group Pm-3m (No. 221)
Asymmetric unit:
Hg 0.0000 0.0000 0.0000 (multiplicity 1)
Te 0.0000 0.5000 0.5000 (multiplicity 3)
Cl 0.5000 0.5000 0.5000 (multiplicity 1)

Calculated values
The total moment is 0.000 μB per atom.

arrangement A is the most stable structure; the next one sits 38 meV per atom above it.

Arrangement A

# Ti2Hg2Cl

An optimized crystal structure of Ti2Hg2Cl (PBE, Alexandria via LeMat-Bulk).

Cell lengths 3.6266, 3.6266, 17.1685 Å; angles 90.00, 90.00, 90.00 degrees
Space group I4/mmm (No. 139)
Asymmetric unit:
Ti 0.0000 0.5000 0.2500 (multiplicity 4)
Hg 0.0000 0.0000 0.1130 (multiplicity 4)
Cl 0.0000 0.0000 0.5000 (multiplicity 2)

Calculated values
The total moment is 0.000 μB per atom.

Arrangement B

# Ti2Hg2Cl

An optimized crystal structure of Ti2Hg2Cl (PBE, Alexandria via LeMat-Bulk).

Cell lengths 8.3102, 8.3102, 3.1759 Å; angles 90.00, 90.00, 90.00 degrees
Space group P4/mbm (No. 127)
Asymmetric unit:
Ti 0.1074 0.3926 0.0000 (multiplicity 4)
Hg 0.1841 0.6841 0.5000 (multiplicity 4)
Cl 0.0000 0.0000 0.5000 (multiplicity 2)

Calculated values
The total moment is 0.470 μB per atom.

Arrangement C

# Ti2Hg2Cl

An optimized crystal structure of Ti2Hg2Cl (PBE, Alexandria via LeMat-Bulk).

Cell lengths 6.3938, 6.3938, 4.7592 Å; angles 90.00, 90.00, 90.00 degrees
Space group P4/mbm (No. 127)
Asymmetric unit:
Ti 0.1591 0.3409 0.0000 (multiplicity 4)
Hg 0.1609 0.6609 0.5000 (multiplicity 4)
Cl 0.0000 0.0000 0.0000 (multiplicity 2)

Calculated values
The total moment is 0.000 μB per atom.

arrangement C is the most stable structure; the next one sits 370 meV per atom above it.